DFT (PBE with a Hubbard U) results for ZnCr2O after structural relaxation.

```
ZnCr2O
1.0
5.571 0.000 0.000
0.000 5.571 0.000
0.000 0.000 10.211
Zn Cr O
4 8 4
Direct
0.000 0.000 0.000 Zn
0.000 0.500 0.250 Zn
0.500 0.000 0.750 Zn
0.500 0.500 0.500 Zn
0.107 0.250 0.625 Cr
0.250 0.607 0.875 Cr
0.250 0.893 0.375 Cr
0.393 0.250 0.125 Cr
0.607 0.750 0.125 Cr
0.750 0.107 0.375 Cr
0.750 0.393 0.875 Cr
0.893 0.750 0.625 Cr
0.000 0.000 0.500 O
0.000 0.500 0.750 O
0.500 0.000 0.250 O
0.500 0.500 0.000 O
```

Fermi-level density of states: 6.3 states/eV per cell
Raw total energy: -5.5822 eV/atom


DFT (PBE with a Hubbard U) results for Zn6CrO6 after structural relaxation.

```
Zn6CrO6
1.0
5.723 0.000 0.000
0.000 5.723 0.000
0.000 0.000 5.723
Zn Cr O
6 1 6
Direct
0.000 0.251 0.500 Zn
0.000 0.749 0.500 Zn
0.251 0.500 0.000 Zn
0.500 0.000 0.251 Zn
0.500 0.000 0.749 Zn
0.749 0.500 0.000 Zn
0.000 0.000 0.000 Cr
0.000 0.500 0.250 O
0.000 0.500 0.750 O
0.250 0.000 0.500 O
0.500 0.250 0.000 O
0.500 0.750 0.000 O
0.750 0.000 0.500 O
```

Fermi-level density of states: 0.9 states/eV per cell
Raw total energy: -4.5524 eV/atom


DFT (PBE with a Hubbard U) results for Zn2Cr2O7 after structural relaxation.

```
Zn2Cr2O7
1.0
3.785 -4.205 0.000
3.785 4.205 0.000
-3.535 0.000 9.519
Zn Cr O
4 4 14
Direct
0.121 0.767 0.519 Zn
0.233 0.879 0.981 Zn
0.767 0.121 0.019 Zn
0.879 0.233 0.481 Zn
0.296 0.312 0.290 Cr
0.312 0.296 0.790 Cr
0.688 0.704 0.210 Cr
0.704 0.688 0.710 Cr
0.103 0.419 0.395 O
0.108 0.119 0.634 O
0.119 0.108 0.134 O
0.205 0.521 0.884 O
0.417 0.583 0.250 O
0.419 0.103 0.895 O
0.479 0.795 0.616 O
0.521 0.205 0.384 O
0.581 0.897 0.105 O
0.583 0.417 0.750 O
0.795 0.479 0.116 O
0.881 0.892 0.866 O
0.892 0.881 0.366 O
0.897 0.581 0.605 O
```

Raw total energy: -6.0457 eV/atom


DFT (PBE with a Hubbard U) results for ZnCr6O12 after structural relaxation.

```
ZnCr6O12
1.0
4.546 2.625 2.675
-4.546 2.625 2.675
0.000 -5.249 2.675
Zn Cr O
1 6 12
Direct
0.000 0.000 0.000 Zn
0.135 0.323 0.598 Cr
0.323 0.598 0.135 Cr
0.402 0.865 0.677 Cr
0.598 0.135 0.323 Cr
0.677 0.402 0.865 Cr
0.865 0.677 0.402 Cr
0.074 0.894 0.672 O
0.106 0.328 0.926 O
0.179 0.570 0.410 O
0.328 0.926 0.106 O
0.410 0.179 0.570 O
0.430 0.590 0.821 O
0.570 0.410 0.179 O
0.590 0.821 0.430 O
0.672 0.074 0.894 O
0.821 0.430 0.590 O
0.894 0.672 0.074 O
0.926 0.106 0.328 O
```

Fermi-level density of states: 5.2 states/eV per cell
Raw total energy: -7.1020 eV/atom


DFT (PBE with a Hubbard U) results for ZnCr2O after structural relaxation.

```
ZnCr2O
1.0
6.202 0.000 0.000
0.000 6.202 0.000
0.000 0.000 6.202
Zn Cr O
4 8 4
Direct
0.000 0.000 0.000 Zn
0.000 0.500 0.500 Zn
0.500 0.000 0.500 Zn
0.500 0.500 0.000 Zn
0.250 0.250 0.250 Cr
0.250 0.250 0.750 Cr
0.250 0.750 0.250 Cr
0.250 0.750 0.750 Cr
0.750 0.250 0.250 Cr
0.750 0.250 0.750 Cr
0.750 0.750 0.250 Cr
0.750 0.750 0.750 Cr
0.000 0.000 0.500 O
0.000 0.500 0.000 O
0.500 0.000 0.000 O
0.500 0.500 0.500 O
```

Fermi-level density of states: 1.9 states/eV per cell
Raw total energy: -5.1036 eV/atom


DFT (PBE with a Hubbard U) results for ZnCr3O6 after structural relaxation.

```
ZnCr3O6
1.0
3.971 -4.964 0.000
3.971 4.964 0.000
0.000 0.000 5.107
Zn Cr O
2 6 12
Direct
0.158 0.842 0.500 Zn
0.842 0.158 0.000 Zn
0.075 0.320 0.523 Cr
0.320 0.075 0.023 Cr
0.395 0.605 0.075 Cr
0.605 0.395 0.575 Cr
0.680 0.925 0.523 Cr
0.925 0.680 0.023 Cr
0.026 0.974 0.183 O
0.114 0.567 0.276 O
0.229 0.771 0.857 O
0.317 0.365 0.793 O
0.365 0.317 0.293 O
0.433 0.886 0.276 O
0.567 0.114 0.776 O
0.635 0.683 0.793 O
0.683 0.635 0.293 O
0.771 0.229 0.357 O
0.886 0.433 0.776 O
0.974 0.026 0.683 O
```

Fermi-level density of states: 1.4 states/eV per cell
Raw total energy: -6.9344 eV/atom


DFT (PBE with a Hubbard U) results for Zn3Cr2O7 after structural relaxation.

```
Zn3Cr2O7
1.0
9.306 -2.587 0.000
9.306 2.587 0.000
0.000 0.000 5.118
Zn Cr O
6 4 14
Direct
0.077 0.522 0.442 Zn
0.235 0.765 0.500 Zn
0.478 0.923 0.442 Zn
0.522 0.077 0.942 Zn
0.765 0.235 0.000 Zn
0.923 0.478 0.942 Zn
0.147 0.649 0.974 Cr
0.351 0.853 0.974 Cr
0.649 0.147 0.474 Cr
0.853 0.351 0.474 Cr
0.046 0.211 0.158 O
0.142 0.858 0.894 O
0.148 0.447 0.052 O
0.211 0.046 0.658 O
0.342 0.504 0.290 O
0.447 0.148 0.552 O
0.496 0.658 0.290 O
0.504 0.342 0.790 O
0.553 0.852 0.052 O
0.658 0.496 0.790 O
0.789 0.954 0.158 O
0.852 0.553 0.552 O
0.858 0.142 0.394 O
0.954 0.789 0.658 O
```

Fermi-level density of states: 0.4 states/eV per cell
Raw total energy: -5.8885 eV/atom


DFT (PBE with a Hubbard U) results for ZnCr2O7 after structural relaxation.

```
ZnCr2O7
1.0
6.071 0.000 0.000
0.000 8.241 0.000
-2.385 0.000 7.499
Zn Cr O
2 4 14
Direct
0.017 0.000 0.365 Zn
0.983 0.500 0.635 Zn
0.078 0.909 0.798 Cr
0.449 0.970 0.199 Cr
0.551 0.470 0.801 Cr
0.922 0.409 0.202 Cr
0.019 0.717 0.741 O
0.091 0.017 0.623 O
0.119 0.482 0.127 O
0.270 0.895 0.303 O
0.285 0.394 0.716 O
0.346 0.921 0.969 O
0.458 0.162 0.219 O
0.542 0.662 0.781 O
0.654 0.421 0.031 O
0.715 0.894 0.284 O
0.730 0.395 0.697 O
0.881 0.982 0.873 O
0.909 0.517 0.377 O
0.981 0.217 0.259 O
```

Fermi-level density of states: 0.0 states/eV per cell
Raw total energy: -6.2552 eV/atom


DFT (PBE with a Hubbard U) results for Zn2Cr9O13 after structural relaxation.

```
Zn2Cr9O13
1.0
3.090 0.000 0.000
-0.365 5.204 0.000
-0.582 -2.404 16.703
Zn Cr O
2 9 13
Direct
0.006 0.024 0.274 Zn
0.994 0.976 0.726 Zn
0.000 0.500 0.000 Cr
0.106 0.784 0.541 Cr
0.283 0.016 0.916 Cr
0.470 0.487 0.169 Cr
0.500 0.384 0.621 Cr
0.500 0.616 0.379 Cr
0.530 0.513 0.831 Cr
0.717 0.984 0.084 Cr
0.894 0.216 0.459 Cr
0.007 0.329 0.884 O
0.036 0.642 0.647 O
0.048 0.850 0.423 O
0.057 0.767 0.817 O
0.476 0.264 0.022 O
0.481 0.771 0.276 O
0.500 0.500 0.500 O
0.519 0.229 0.724 O
0.524 0.736 0.978 O
0.943 0.233 0.183 O
0.952 0.150 0.577 O
0.964 0.358 0.353 O
0.993 0.671 0.116 O
```

Fermi-level density of states: 8.1 states/eV per cell
Raw total energy: -7.2057 eV/atom


DFT (PBE with a Hubbard U) results for ZrCr3O after structural relaxation.

```
ZrCr3O
1.0
5.108 0.000 0.000
0.000 5.108 0.000
0.000 0.000 5.108
Zr Cr O
1 3 1
Direct
0.000 0.000 0.000 Zr
0.000 0.000 0.500 Cr
0.000 0.500 0.000 Cr
0.500 0.000 0.000 Cr
0.500 0.500 0.500 O
```

Fermi-level density of states: 6.8 states/eV per cell
Raw total energy: -5.1140 eV/atom


DFT (PBE with a Hubbard U) results for ZrCrO2 after structural relaxation.

```
ZrCrO2
1.0
5.625 0.000 0.000
0.000 5.625 0.000
0.000 0.000 5.625
Zr Cr O
4 4 8
Direct
0.000 0.000 0.000 Zr
0.000 0.500 0.500 Zr
0.500 0.000 0.500 Zr
0.500 0.500 0.000 Zr
0.000 0.000 0.500 Cr
0.000 0.500 0.000 Cr
0.500 0.000 0.000 Cr
0.500 0.500 0.500 Cr
0.250 0.250 0.250 O
0.250 0.250 0.750 O
0.250 0.750 0.250 O
0.250 0.750 0.750 O
0.750 0.250 0.250 O
0.750 0.250 0.750 O
0.750 0.750 0.250 O
0.750 0.750 0.750 O
```

Fermi-level density of states: 9.5 states/eV per cell
Raw total energy: -7.8785 eV/atom


DFT (PBE with a Hubbard U) results for ZrCrO2 after structural relaxation.

```
ZrCrO2
1.0
3.450 0.000 0.000
-1.725 2.987 0.000
0.000 0.000 17.116
Zr Cr O
3 3 6
Direct
0.000 0.000 0.000 Zr
0.333 0.667 0.667 Zr
0.667 0.333 0.333 Zr
0.000 0.000 0.500 Cr
0.333 0.667 0.167 Cr
0.667 0.333 0.833 Cr
0.000 0.000 0.384 O
0.000 0.000 0.616 O
0.333 0.667 0.050 O
0.333 0.667 0.283 O
0.667 0.333 0.717 O
0.667 0.333 0.950 O
```

Fermi-level density of states: 1.3 states/eV per cell
Raw total energy: -8.5815 eV/atom